--- w ---
## MnPdAu3 (PBE)

Data for a geometry-optimized MnPdAu3 structure.

Lattice parameters (Å, degrees): 5.013 5.013 5.013 90.00 90.00 90.00
Each line ends with the local moment (μB).
Fractional positions:
Mn: 0.500 0.500 0.500  4.54
Au: 0.000 0.500 0.000  -0.01
Au: 0.000 0.000 0.500  0.02
Au: 0.500 0.000 0.000  -0.01
Pd: 0.000 0.000 0.000  0.02

Computed properties:
space group: Pm-3m (221)

=====

--- x ---
## MnPdAu3 (PBE)

Data for a geometry-optimized MnPdAu3 structure.

Lattice parameters (Å, degrees): 4.735 4.735 4.735 90.00 90.00 90.00
Fractional positions:
Mn: 0.000 0.000 0.000
Au: 0.000 0.500 0.000
Au: 0.000 0.000 0.500
Au: 0.500 0.000 0.000
Pd: 0.500 0.500 0.500

Computed properties:
space group: Pm-3m (221)

=====

Least stable of them? x.

=====

--- w ---
## Mn2Pd5Au2 (PBE)

Data for a geometry-optimized Mn2Pd5Au2 structure.

Lattice parameters (Å, degrees): 6.951 5.620 8.595 109.09 113.85 90.00
Each line ends with the local moment (μB).
Fractional positions:
Mn: 0.096 0.600 0.126  1.43
Mn: 0.904 0.474 0.874  1.43
Mn: 0.530 0.100 0.126  1.43
Mn: 0.470 0.974 0.874  1.43
Pd: 0.134 0.672 0.768  0.10
Pd: 0.866 0.903 0.232  0.10
Pd: 0.134 0.172 0.768  0.10
Pd: 0.866 0.403 0.232  0.10
Pd: 0.402 0.939 0.304  0.02
Pd: 0.598 0.636 0.696  0.02
Pd: 0.402 0.439 0.304  0.02
Pd: 0.598 0.136 0.696  0.02
Pd: 0.209 0.787 0.500  -0.03
Pd: 0.791 0.287 0.500  -0.03
Au: 0.000 0.037 0.000  0.03
Au: 0.500 0.537 0.000  0.03
Au: 0.214 0.287 0.500  0.01
Au: 0.786 0.787 0.500  0.01

Computed properties:
space group: Imma (74)

=====

--- x ---
## Mn2Pd5Au2 (PBE)

Data for a geometry-optimized Mn2Pd5Au2 structure.

Lattice parameters (Å, degrees): 6.771 7.589 7.589 127.53 90.00 90.00
Each line ends with the local moment (μB).
Fractional positions:
Mn: 0.359 0.141 0.141  3.89
Mn: 0.641 0.859 0.859  3.89
Mn: 0.859 0.359 0.359  3.89
Mn: 0.141 0.641 0.641  3.89
Pd: 0.000 0.000 0.000  0.26
Pd: 0.500 0.500 0.500  0.26
Pd: 0.160 0.218 0.465  0.24
Pd: 0.840 0.535 0.782  0.24
Pd: 0.660 0.035 0.282  0.24
Pd: 0.340 0.718 0.965  0.24
Pd: 0.840 0.782 0.535  0.24
Pd: 0.160 0.465 0.218  0.24
Pd: 0.340 0.965 0.718  0.24
Pd: 0.660 0.282 0.035  0.24
Au: 0.000 0.792 0.208  0.02
Au: 0.500 0.292 0.708  0.02
Au: 0.000 0.208 0.792  0.02
Au: 0.500 0.708 0.292  0.02

Computed properties:
space group: Cmce (64)

=====

Least stable of them? w.

=====

--- w ---
## MnPd3Au4 (PBE)

Data for a geometry-optimized MnPd3Au4 structure.

Lattice parameters (Å, degrees): 2.917 4.207 11.641 85.24 82.76 89.95
Each line ends with the local moment (μB).
Fractional positions:
Mn: 0.000 0.000 0.000  4.04
Au: 0.900 0.319 0.198  0.03
Au: 0.100 0.681 0.802  0.03
Au: 0.780 0.265 0.439  0.00
Au: 0.220 0.735 0.561  0.00
Pd: 0.342 0.796 0.313  0.03
Pd: 0.658 0.204 0.687  0.03
Pd: 0.500 0.500 0.000  0.27

Computed properties:
space group: C2/m (12)

=====

--- x ---
## MnPd3Au4 (PBE)

Data for a geometry-optimized MnPd3Au4 structure.

Lattice parameters (Å, degrees): 3.778 4.104 10.944 67.30 99.94 90.00
Each line ends with the local moment (μB).
Fractional positions:
Mn: 0.500 0.000 0.000  3.99
Pd: 0.000 0.500 0.000  0.14
Pd: 0.901 0.203 0.803  0.11
Pd: 0.099 0.797 0.197  0.11
Au: 0.604 0.286 0.209  0.03
Au: 0.396 0.714 0.791  0.03
Au: 0.702 0.585 0.403  0.01
Au: 0.298 0.415 0.597  0.01

Computed properties:
space group: C2/m (12)

=====

Least stable of them? w.

=====

--- w ---
## MnPd2Au6 (PBE)

Data for a geometry-optimized MnPd2Au6 structure.

Lattice parameters (Å, degrees): 4.864 4.506 8.526 97.63 90.00 122.67
Each line ends with the local moment (μB).
Fractional positions:
Mn: 0.000 0.000 0.500  4.05
Pd: 0.668 0.335 0.944  0.02
Pd: 0.332 0.665 0.056  0.02
Au: 0.000 0.000 0.834  0.01
Au: 0.669 0.338 0.274  0.01
Au: 0.331 0.662 0.726  0.01
Au: 0.666 0.332 0.609  0.03
Au: 0.334 0.668 0.391  0.03
Au: 0.000 0.000 0.166  0.01

Computed properties:
space group: C2/m (12)

=====

--- x ---
## MnPd2Au6 (PBE)

Data for a geometry-optimized MnPd2Au6 structure.

Lattice parameters (Å, degrees): 4.029 6.516 6.493 107.60 108.08 90.00
Each line ends with the local moment (μB).
Fractional positions:
Mn: 0.500 0.500 0.000  4.05
Pd: 0.946 0.173 0.893  0.10
Pd: 0.054 0.827 0.107  0.10
Au: 0.392 0.832 0.784  0.02
Au: 0.608 0.168 0.216  0.02
Au: 0.720 0.833 0.441  0.02
Au: 0.161 0.502 0.322  0.03
Au: 0.280 0.167 0.559  0.02
Au: 0.839 0.498 0.678  0.03

Computed properties:
space group: C2/m (12)

=====

Least stable of them? w.

=====

--- w ---
## MnPd8Au2 (PBE)

Data for a geometry-optimized MnPd8Au2 structure.

Lattice parameters (Å, degrees): 4.260 6.726 6.726 106.03 89.99 89.99
Each line ends with the local moment (μB).
Fractional positions:
Mn: 0.500 0.000 0.000  3.87
Pd: 0.000 0.962 0.703  0.12
Pd: 0.000 0.703 0.962  0.12
Pd: 0.500 0.676 0.676  0.12
Pd: 0.500 0.234 0.766  0.14
Pd: 0.500 0.766 0.234  0.14
Pd: 0.500 0.324 0.324  0.12
Pd: 0.000 0.297 0.038  0.12
Pd: 0.000 0.038 0.297  0.12
Au: 0.000 0.625 0.375  0.03
Au: 0.000 0.375 0.625  0.03

Computed properties:
space group: Cmmm (65)

=====

--- x ---
## MnPd8Au2 (PBE)

Data for a geometry-optimized MnPd8Au2 structure.

Lattice parameters (Å, degrees): 5.180 7.640 7.360 58.73 69.63 47.89
Each line ends with the local moment (μB).
Fractional positions:
Mn: 0.500 0.000 0.000  3.88
Pd: 0.902 0.100 0.219  0.03
Pd: 0.902 0.319 0.781  0.03
Pd: 0.333 0.397 0.000  0.03
Pd: 0.500 0.783 0.434  0.04
Pd: 0.500 0.217 0.566  0.04
Pd: 0.667 0.603 0.000  0.03
Pd: 0.098 0.681 0.219  0.03
Pd: 0.098 0.900 0.781  0.03
Au: 0.000 0.306 0.388  0.01
Au: 0.000 0.694 0.612  0.01

Computed properties:
space group: C2/m (12)

=====

Least stable of them? x.

=====

--- w ---
## MnPd5Au (PBE)

Data for a geometry-optimized MnPd5Au structure.

Lattice parameters (Å, degrees): 4.782 4.782 5.564 90.00 90.00 109.69
Each line ends with the local moment (μB).
Fractional positions:
Mn: 0.500 0.500 0.500  4.09
Pd: 0.500 0.000 0.250  0.14
Pd: 0.000 0.500 0.250  0.14
Pd: 0.000 0.000 0.500  0.14
Pd: 0.000 0.500 0.750  0.14
Pd: 0.500 0.000 0.750  0.14
Au: 0.000 0.000 0.000  0.04

Computed properties:
space group: Cmmm (65)

=====

--- x ---
## MnPd5Au (PBE)

Data for a geometry-optimized MnPd5Au structure.

Lattice parameters (Å, degrees): 7.237 7.237 6.947 94.51 94.51 139.93
Each line ends with the local moment (μB).
Fractional positions:
Mn: 0.516 0.484 0.250  4.05
Mn: 0.484 0.516 0.750  4.05
Pd: 0.451 0.753 0.455  0.14
Pd: 0.021 0.379 0.650  0.10
Pd: 0.753 0.451 0.955  0.14
Pd: 0.847 0.153 0.250  0.08
Pd: 0.621 0.979 0.850  0.10
Pd: 0.379 0.021 0.150  0.10
Pd: 0.153 0.847 0.750  0.08
Pd: 0.247 0.549 0.045  0.14
Pd: 0.979 0.621 0.350  0.10
Pd: 0.549 0.247 0.545  0.14
Au: 0.000 0.000 0.000  0.07
Au: 0.000 0.000 0.500  0.07

Computed properties:
space group: C2/c (15)

=====

Least stable of them? x.